Record 1
Entry from the Alexandria database: a relaxed structure of LiFe2Br (PBE).

The calculation puts the spin magnetization at 11.4 μB/cell. The raw formation energy is 0.018 eV/atom. Its density of states at the Fermi level is 5.0 states/eV per cell. The energy above the most stable polymorph in this dataset comes out at 0.000 kcal/mol of atoms.

It has space group Amm2 (No. 38), with a = 3.191 Å, b = 3.289 Å, c = 12.311 Å, α = 90.00°, β = 90.00° and γ = 90.00°. Symmetry generates all atoms from Li at (0.000, 0.000, 0.000), Fe at (0.000, 0.000, 0.221), Fe at (0.500, 0.000, 0.640) and Br at (0.500, 0.000, 0.410).

***

Record 2
Entry from the Alexandria database: a relaxed structure of BeP2Ru (PBE).

The calculation puts the spin magnetization at 0.0 μB/cell. Its density of states at the Fermi level is 2.7 states/eV per cell. The formation energy comes out at 0.32 eV/atom.

It has space group F-43m (No. 216), with a = 5.791 Å, b = 5.791 Å, c = 5.791 Å, α = 90.00°, β = 90.00° and γ = 90.00°. Symmetry generates all atoms from Be at (0.000, 0.000, 0.000), P at (0.000, 0.000, 0.500), P at (0.250, 0.250, 0.750) and Ru at (0.250, 0.250, 0.250).

***

Record 3
Entry from the Alexandria database: a relaxed structure of SrSmMg (PBE).

The calculation puts the spin magnetization at 0.0 μB/cell. Its density of states at the Fermi level is 3.9 states/eV per cell. The energy above the most stable polymorph in this dataset comes out at 2.763 kcal/mol of atoms. The formation energy comes out at 0.16 eV/atom.

It has space group P3m1 (No. 156), with a = 5.7986 Å, b = 5.7986 Å, c = 3.5818 Å, α = 90.00°, β = 90.00° and γ = 120.00°. Symmetry generates all atoms from Sr at (0.0000, 0.0000, 0.0000), Sm at (0.6667, 0.3333, 0.6085) and Mg at (0.3333, 0.6667, 0.3024).

***

| no. | total energy (eV/atom) |
| --- | --- |
| 1 | -5.1102 |
| 2 | -5.6384 |
| 3 | -2.5100 |